Here is GePCS2 at its PBEsol-relaxed geometry from Alexandria. Energies are from meta-GGA SCAN.

Calculated values
Size of the total moment, μB per cell: 0.000
Crystal system: tetragonal
ΔE_f (raw), eV/atom: 1.26
Density, g/cm3: 4.301
SG: P4/mmm, No. 123
VASP energy, eV/cell: -52.53

a = 4.015 Å, b = 4.157 Å, c = 4.157 Å
α = 90.00°, β = 90.00°, γ = 90.00°
Sites, in units of the cell vectors:
Ge 0.500 0.500 0.500
S 0.000 0.500 0.000
P 0.500 0.000 0.000
C 0.000 0.000 0.000
S 0.000 0.000 0.500


Here is GeP2CS at its PBEsol-relaxed geometry from Alexandria. Energies are from meta-GGA SCAN.

Calculated values
Size of the total moment, μB per cell: 0.312
Crystal system: tetragonal
ΔE_f (raw), eV/atom: 2.27
Density, g/cm3: 3.054
SG: P4/mmm, No. 123
VASP energy, eV/cell: -48.29

a = 4.513 Å, b = 4.640 Å, c = 4.640 Å
α = 90.00°, β = 90.00°, γ = 90.00°
Site moments in Bohr magnetons follow the coordinates.
Sites, in units of the cell vectors:
Ge 0.000 0.000 0.000  0.01
P 0.000 0.500 0.000  -0.29
C 0.500 0.500 0.500  0.76
S 0.500 0.000 0.000  -0.01
P 0.000 0.000 0.500  -0.29


Here is SrGePC2 at its PBEsol-relaxed geometry from Alexandria. Energies are from meta-GGA SCAN.

Calculated values
Size of the total moment, μB per cell: 0.105
Crystal system: tetragonal
Density, g/cm3: 3.761
SG: P4/mmm, No. 123
VASP energy, eV/cell: -62.98

a = 4.008 Å, b = 4.008 Å, c = 5.916 Å
α = 90.00°, β = 90.00°, γ = 90.00°
Site moments in Bohr magnetons follow the coordinates.
Sites, in units of the cell vectors:
C 0.000 0.500 0.000  -0.19
P 0.500 0.500 0.500  0.32
Ge 0.000 0.000 0.000  0.04
C 0.500 0.000 0.000  -0.19
Sr 0.000 0.000 0.500  0.02


Here is Ge3PbC at its PBEsol-relaxed geometry from Alexandria. Energies are from meta-GGA SCAN.

Calculated values
Size of the total moment, μB per cell: 1.512
Crystal system: cubic
Density, g/cm3: 4.659
SG: Pm-3m, No. 221
VASP energy, eV/cell: -130.99

a = 5.381 Å, b = 5.381 Å, c = 5.381 Å
α = 90.00°, β = 90.00°, γ = 90.00°
Site moments in Bohr magnetons follow the coordinates.
Sites, in units of the cell vectors:
Ge 0.000 0.000 0.500  -0.07
Ge 0.000 0.500 0.000  -0.07
C 0.500 0.500 0.500  0.93
Ge 0.500 0.000 0.000  -0.07
Pb 0.000 0.000 0.000  0.02


Here is GeRu2PbC at its PBEsol-relaxed geometry from Alexandria. Energies are from meta-GGA SCAN.

Calculated values
Size of the total moment, μB per cell: 1.479
Crystal system: tetragonal
Density, g/cm3: 9.985
SG: P4/mmm, No. 123
VASP energy, eV/cell: -167.13

a = 3.763 Å, b = 4.672 Å, c = 4.672 Å
α = 90.00°, β = 90.00°, γ = 90.00°
Site moments in Bohr magnetons follow the coordinates.
Sites, in units of the cell vectors:
Pb 0.500 0.500 0.500  -0.01
Ru 0.000 0.500 0.000  0.72
Ru 0.000 0.000 0.500  0.72
C 0.500 0.000 0.000  0.06
Ge 0.000 0.000 0.000  -0.02


Here is Sn2GePdC at its PBEsol-relaxed geometry from Alexandria. Energies are from meta-GGA SCAN.

Calculated values
Size of the total moment, μB per cell: 1.813
Crystal system: tetragonal
Density, g/cm3: 5.716
SG: P4/mmm, No. 123
VASP energy, eV/cell: -125.48

a = 4.557 Å, b = 5.227 Å, c = 5.227 Å
α = 90.00°, β = 90.00°, γ = 90.00°
Site moments in Bohr magnetons follow the coordinates.
Sites, in units of the cell vectors:
Sn 0.000 0.500 0.000  -0.07
C 0.500 0.500 0.500  0.92
Ge 0.000 0.000 0.000  0.02
Pd 0.500 0.000 0.000  0.10
Sn 0.000 0.000 0.500  -0.07